Entry from the Alexandria database: a geometry-optimized Re5Cl structure (PBE).

Unit cell a=4.8136 b=4.8136 c=4.5530 alpha=90.00 beta=90.00 gamma=120.00
Fractional positions:
Cl1 0.0000 0.0000 0.5000
Re1 0.0000 0.6543 0.0000
Re2 0.3457 0.3457 0.0000
Re3 0.6543 0.0000 0.0000
Re4 0.3333 0.6667 0.5000
Re5 0.6667 0.3333 0.5000

DOS at the Fermi energy = 5.052 states/eV per cell
Polymorph energy (0 for the lowest one) = 0.212 eV/atom
Calculated density = 17566 kg/m3
Total DFT energy (no corrections) = -59.70 eV for the cell shown

***

Entry from the Alexandria database: a geometry-optimized ReCl4 structure (PBE).

Unit cell a=4.7499 b=4.7499 c=4.7499 alpha=90.00 beta=90.00 gamma=90.00
Each line ends with the local moment (μB).
Fractional positions:
Cl1 0.5000 0.5000 0.0000  0.05
Cl2 0.0000 0.5000 0.5000  0.05
Cl3 0.5000 0.0000 0.5000  0.05
Cl4 0.0000 0.0000 0.0000  -0.19
Re1 0.5000 0.5000 0.5000  1.35

DOS at the Fermi energy = 4.505 states/eV per cell
Polymorph energy (0 for the lowest one) = 0.703 eV/atom
Calculated density = 5083 kg/m3
Total DFT energy (no corrections) = -19.26 eV for the cell shown

***

Entry from the Alexandria database: a geometry-optimized Re3Cl2 structure (PBE).

Unit cell a=7.9875 b=7.1599 c=5.8256 alpha=75.13 beta=60.04 gamma=44.82
Fractional positions:
Re1 0.2325 0.2675 0.2675
Re2 0.9024 0.3910 0.7294
Re3 0.9825 0.0175 0.0175
Re4 0.9772 0.7294 0.3910
Re5 0.5206 0.2728 0.3476
Re6 0.8590 0.3476 0.2728
Cl1 0.5268 0.1174 0.7447
Cl2 0.6111 0.7447 0.1174
Cl3 0.5053 0.6389 0.7232
Cl4 0.1326 0.7232 0.6389

DOS at the Fermi energy = 6.043 states/eV per cell
Polymorph energy (0 for the lowest one) = 0.091 eV/atom
Calculated density = 10409 kg/m3
Total DFT energy (no corrections) = -74.32 eV for the cell shown

***

Uncorrected formation energy values, unit eV/atom, following the record order: 0.73, 0.11, 0.78.